Entry from Alexandria: a relaxed structure of MnAl2Sb (GGA-PBE).

Unit cell a=3.1155 b=3.1155 c=26.1197 alpha=90.00 beta=90.00 gamma=120.00
Last column: nearest neighbours and their distance in Å.
Sites, in units of the cell vectors:
Mn 0.0000 0.0000 0.0000  6 Al 2.60
Mn 0.3333 0.6667 0.6667  6 Al 2.60
Mn 0.6667 0.3333 0.3333  6 Al 2.60
Al 0.0000 0.0000 0.2613  3 Mn 2.60
Al 0.0000 0.0000 0.7387  3 Mn 2.60
Al 0.3333 0.6667 0.4054  3 Mn 2.60
Al 0.3333 0.6667 0.9280  3 Mn 2.60
Al 0.6667 0.3333 0.0720  3 Mn 2.60
Al 0.6667 0.3333 0.5946  3 Mn 2.60
Sb 0.0000 0.0000 0.5000  6 Al 3.06, 6 Sb 3.12
Sb 0.3333 0.6667 0.1667  6 Al 3.06, 6 Sb 3.12
Sb 0.6667 0.3333 0.8333  6 Al 3.06, 6 Sb 3.12

Values from the calculation:
- DOS at the Fermi energy (states/eV per cell) = 4.86
- final energy (eV/atom) = -5.03
- calculated density (kg/m3) = 5234